Compound: MgH3F
Source: the Alexandria database
Functional: PBE
Structure: optimized geometry

Output
space group: Pm-3m, No. 221
uncorrected energy: -2.333 eV per atom
excess energy over the best structure of this formula in the dataset: 0 meV per atom

Cell lengths 3.748, 3.748, 3.748 Å; angles 90.00, 90.00, 90.00 degrees
Atoms (fractional coordinates):
H (0.000, 0.500, 0.000)
H (0.000, 0.000, 0.500)
H (0.500, 0.000, 0.000)
Mg (0.000, 0.000, 0.000)
F (0.500, 0.500, 0.500)